Tb2Y3TaN6 | GGA-PBE | relaxed

Structure (POSCAR):
```
Tb2Y3TaN6
1.0
-2.873 -4.991 -1.286
5.410 0.930 -2.165
1.361 -1.069 5.624
Y N Ta Tb
3 6 1 2
direct
0.500 0.500 0.500 Y
0.834 0.166 0.500 Y
0.166 0.834 0.500 Y
0.922 0.613 0.766 N
0.387 0.078 0.234 N
0.613 0.922 0.766 N
0.078 0.387 0.234 N
0.770 0.770 0.236 N
0.230 0.230 0.764 N
0.000 0.000 0.000 Ta
0.333 0.667 0.000 Tb
0.667 0.333 0.000 Tb
```

Properties
- uncorrected formation energy (kJ per mole of atoms) = -153
- D(E_F) (states/eV per cell) = 1.866